A relaxed TbGdNi2Ge4 crystal, computed with GGA-PBE.

Properties
The electronic total energy comes out at -5.5848 eV/atom. The magnetization is 0.0 μB per formula unit.

```
TbGdNi2Ge4
1.0
-3.0563 -2.5412 -1.3479
3.7461 -6.6203 3.9869
1.1859 -5.0549 6.8409
Ni Ge Tb Gd
2 4 1 1
Cartesian
0.0512 -5.0092 2.7933
3.3521 -7.9351 7.3592
1.2371 -2.9285 2.7159
2.1651 -10.0134 7.4343
2.6713 -6.3235 5.8646
0.7338 -6.6252 4.2920
-0.9950 -2.5326 0.4965
4.3999 -10.4156 9.6597
```


A relaxed AlCdGaTeS3 crystal, computed with GGA-PBE.

Properties
The electronic total energy comes out at -4.0225 eV/atom.

```
AlCdGaTeS3
1.0
5.7284 0.0000 0.0000
-0.2074 5.8741 0.0000
-2.6550 -2.7239 5.3762
Ga S Te Al Cd
1 3 1 1 1
Cartesian
2.8587 0.0255 2.6409
1.3293 1.2782 1.4166
4.1735 4.6332 1.4239
1.6914 -1.4055 4.0470
-1.3897 1.8526 3.7973
5.6591 0.0700 0.0680
2.8155 2.8901 0.0468
```